The following is a DFT calculation (GGA-PBE) of a relaxed Tb5Ho5Tm2 crystal.

formation energy from the elements = 0.018 eV per atom
symmetry = No. 12
E_tot = -54.8 eV per formula unit

Unit cell a=4.988 b=7.879 c=11.141 alpha=115.09 beta=90.00 gamma=108.45
Positions (direct):
Tb1 0.500 0.000 0.500
Tb2 0.666 0.333 0.000
Tb3 0.583 0.166 0.250
Tb4 0.417 0.834 0.750
Tb5 0.334 0.667 0.000
Ho1 0.167 0.334 0.500
Ho2 0.749 0.498 0.749
Ho3 0.251 0.502 0.251
Ho4 0.833 0.666 0.500
Ho5 0.000 0.000 0.000
Tm1 0.084 0.167 0.750
Tm2 0.916 0.833 0.250

***

The following is a DFT calculation (GGA-PBE) of a relaxed Tb5Ho2Tm5 crystal.

formation energy from the elements = 0.021 eV per atom
symmetry = No. 12
E_tot = -54.4 eV per formula unit

Unit cell a=4.968 b=7.861 c=10.560 alpha=72.69 beta=76.39 gamma=71.58
Positions (direct):
Tb1 0.500 0.500 0.500
Tb2 0.334 0.333 0.999
Tb3 0.416 0.917 0.250
Tb4 0.584 0.083 0.750
Tb5 0.666 0.667 0.001
Ho1 0.917 0.417 0.749
Ho2 0.083 0.583 0.251
Tm1 0.833 0.835 0.500
Tm2 0.250 0.750 0.749
Tm3 0.750 0.250 0.251
Tm4 0.167 0.165 0.500
Tm5 0.000 0.000 0.000

***

The following is a DFT calculation (GGA-PBE) of a relaxed Tb2HoTm7 crystal.

formation energy from the elements = 0.710 eV per atom
symmetry = No. 65
E_tot = -38.0 eV per formula unit

Unit cell a=5.043 b=9.607 c=9.607 alpha=127.00 beta=90.00 gamma=90.00
Positions (direct):
Tb1 0.500 0.701 0.299
Tb2 0.500 0.299 0.701
Ho1 0.000 0.000 0.000
Tm1 0.000 0.806 0.194
Tm2 0.000 0.194 0.806
Tm3 0.500 0.073 0.286
Tm4 0.500 0.927 0.714
Tm5 0.500 0.286 0.073
Tm6 0.500 0.714 0.927
Tm7 0.500 0.500 0.500